NaGdP4O12 | PBEsol | relaxed

Values from the calculation:
- ΔE_f (raw) (eV per atom) = -2.456
- total magnetization (μB/atom) = 0.39
- total energy (eV/atom) = -8.1226

Geometry as CIF:
```
data_NaGdP4O12
_cell_length_a 7.1940
_cell_length_b 13.0844
_cell_length_c 12.1034
_cell_angle_alpha 90.00
_cell_angle_beta 125.90
_cell_angle_gamma 90.00
_space_group_name_H-M_alt 'P 1 21/c 1'
_space_group_IT_number 14
loop_
_space_group_symop_operation_xyz
'x,y,z'
'-x,-y,-z'
'-x,y+1/2,-z+1/2'
'x,-y+1/2,z+1/2'
loop_
_atom_site_label
_atom_site_fract_x
_atom_site_fract_y
_atom_site_fract_z
_atom_site_occupancy
Na1 0.0636 0.2227 0.0635 1
Gd1 0.4644 0.2195 0.9774 1
P1 0.0063 0.6028 0.2565 1
P2 0.1107 0.6155 0.7351 1
P3 0.3438 0.6284 0.1961 1
P4 0.4330 0.0918 0.7012 1
O1 0.0714 0.5130 0.7894 1
O2 0.0933 0.6263 0.1642 1
O3 0.1004 0.1483 0.8993 1
O4 0.1941 0.6106 0.4066 1
O5 0.2048 0.1664 0.2965 1
O6 0.2173 0.6893 0.8510 1
O7 0.2922 0.5812 0.7056 1
O8 0.3275 0.7108 0.1048 1
O9 0.3473 0.1630 0.5836 1
O10 0.3532 0.5209 0.1359 1
O11 0.3642 0.1122 0.7944 1
O12 0.4755 0.1336 0.1534 1
```

=====

Ta2CdPb | PBEsol | relaxed

Values from the calculation:
- total magnetization (μB/atom) = 0.00
- ΔH_f (0 K) (eV per atom) = 0.499
- total energy (eV/atom) = -7.0751

Geometry as CIF:
```
data_Ta2CdPb
_cell_length_a 3.5570
_cell_length_b 4.7223
_cell_length_c 9.3442
_cell_angle_alpha 90.00
_cell_angle_beta 90.00
_cell_angle_gamma 90.00
_space_group_name_H-M_alt 'C m m m'
_space_group_IT_number 65
_space_group_name_Hall '-C 2 2'
loop_
_atom_site_label
_atom_site_fract_x
_atom_site_fract_y
_atom_site_fract_z
_atom_site_occupancy
Ta1 0.0000 0.0000 0.2484 1
Cd1 0.0000 0.5000 0.0000 1
Pb1 0.0000 0.5000 0.5000 1
```

=====

Tl2PbBr | PBEsol | relaxed

Values from the calculation:
- ΔE_f (raw) (eV per atom) = -0.115
- total magnetization (μB/atom) = 0.00
- total energy (eV/atom) = -2.8974

Geometry as CIF:
```
data_Tl2PbBr
_cell_length_a 7.6913
_cell_length_b 7.6913
_cell_length_c 7.6913
_cell_angle_alpha 90.00
_cell_angle_beta 90.00
_cell_angle_gamma 90.00
_space_group_name_H-M_alt 'F m -3 m'
_space_group_IT_number 225
_space_group_name_Hall '-F 4 2 3'
loop_
_atom_site_label
_atom_site_fract_x
_atom_site_fract_y
_atom_site_fract_z
_atom_site_occupancy
Tl1 0.2500 0.2500 0.2500 1
Pb1 0.0000 0.0000 0.0000 1
Br1 0.0000 0.0000 0.5000 1
```

=====

MgZnTc2 | PBEsol | relaxed

Values from the calculation:
- total magnetization (μB/atom) = 0.11
- ΔH_f (0 K) (eV per atom) = 0.558
- total energy (eV/atom) = -5.9001

Geometry as CIF:
```
data_MgZnTc2
_cell_length_a 6.1214
_cell_length_b 6.1214
_cell_length_c 6.1214
_cell_angle_alpha 90.00
_cell_angle_beta 90.00
_cell_angle_gamma 90.00
_space_group_name_H-M_alt 'F m -3 m'
_space_group_IT_number 225
_space_group_name_Hall '-F 4 2 3'
loop_
_atom_site_label
_atom_site_fract_x
_atom_site_fract_y
_atom_site_fract_z
_atom_site_occupancy
Mg1 0.0000 0.0000 0.0000 1
Zn1 0.0000 0.0000 0.5000 1
Tc1 0.2500 0.2500 0.2500 1
```

=====

CaYSb2Cl | PBEsol | relaxed

Values from the calculation:
- ΔE_f (raw) (eV per atom) = 0.376
- total magnetization (μB/atom) = 0.09
- total energy (eV/atom) = -3.6393

Geometry as CIF:
```
data_CaYSb2Cl
_cell_length_a 5.4207
_cell_length_b 5.4207
_cell_length_c 6.0093
_cell_angle_alpha 90.00
_cell_angle_beta 90.00
_cell_angle_gamma 90.00
_space_group_name_H-M_alt 'P 4/m m m'
_space_group_IT_number 123
_space_group_name_Hall '-P 4 2'
loop_
_atom_site_label
_atom_site_fract_x
_atom_site_fract_y
_atom_site_fract_z
_atom_site_occupancy
Ca1 0.0000 0.0000 0.0000 1
Y1 0.0000 0.0000 0.5000 1
Sb1 0.0000 0.5000 0.0000 1
Cl1 0.5000 0.5000 0.5000 1
```

=====

MgMnTe2 | PBEsol | relaxed

Values from the calculation:
- ΔE_f (raw) (eV per atom) = -0.332
- total magnetization (μB/atom) = 1.25
- total energy (eV/atom) = -4.9646

Geometry as CIF:
```
data_MgMnTe2
_cell_length_a 4.4931
_cell_length_b 4.4931
_cell_length_c 6.3152
_cell_angle_alpha 90.00
_cell_angle_beta 90.00
_cell_angle_gamma 90.00
_space_group_name_H-M_alt 'P -4 m 2'
_space_group_IT_number 115
loop_
_space_group_symop_operation_xyz
'x,y,z'
'y,-x,-z'
'-x,-y,z'
'-y,x,-z'
'-x,y,z'
'-y,-x,-z'
'x,-y,z'
'y,x,-z'
loop_
_atom_site_label
_atom_site_fract_x
_atom_site_fract_y
_atom_site_fract_z
_atom_site_occupancy
Mg1 0.0000 0.0000 0.0000 1
Mn1 0.5000 0.5000 0.5000 1
Te1 0.0000 0.5000 0.2618 1
```

=====

SrPSe | PBEsol | relaxed

Values from the calculation:
- ΔE_f (raw) (eV per atom) = -0.352
- total magnetization (μB/atom) = 0.00
- total energy (eV/atom) = -4.1790

Geometry as CIF:
```
data_SrPSe
_cell_length_a 6.8673
_cell_length_b 6.8673
_cell_length_c 6.8673
_cell_angle_alpha 90.00
_cell_angle_beta 90.00
_cell_angle_gamma 90.00
_space_group_name_H-M_alt 'F -4 3 m'
_space_group_IT_number 216
_space_group_name_Hall 'F -4 2 3'
loop_
_atom_site_label
_atom_site_fract_x
_atom_site_fract_y
_atom_site_fract_z
_atom_site_occupancy
Sr1 0.0000 0.0000 0.0000 1
P1 0.0000 0.0000 0.5000 1
Se1 0.2500 0.2500 0.7500 1
```

=====

MnCu2Ag | PBEsol | relaxed

Values from the calculation:
- total magnetization (μB/atom) = 0.93
- ΔH_f (0 K) (eV per atom) = 0.234
- total energy (eV/atom) = -5.2008

Geometry as CIF:
```
data_MnCu2Ag
_cell_length_a 8.8388
_cell_length_b 2.7427
_cell_length_c 4.4827
_cell_angle_alpha 90.00
_cell_angle_beta 102.81
_cell_angle_gamma 90.00
_space_group_name_H-M_alt 'C 1 m 1'
_space_group_IT_number 8
loop_
_space_group_symop_operation_xyz
'x,y,z'
'x,-y,z'
'x+1/2,y+1/2,z'
'x+1/2,-y+1/2,z'
loop_
_atom_site_label
_atom_site_fract_x
_atom_site_fract_y
_atom_site_fract_z
_atom_site_occupancy
Mn1 0.0000 0.0000 0.0000 1
Cu1 0.2477 0.5000 0.2308 1
Cu2 0.4869 0.0000 0.4764 1
Ag1 0.2404 0.0000 0.7251 1
```

=====

Ca2ZnSi | PBEsol | relaxed

Values from the calculation:
- ΔE_f (raw) (eV per atom) = -0.364
- total magnetization (μB/atom) = 0.00
- total energy (eV/atom) = -3.2627

Geometry as CIF:
```
data_Ca2ZnSi
_cell_length_a 7.1235
_cell_length_b 7.1235
_cell_length_c 7.1235
_cell_angle_alpha 90.00
_cell_angle_beta 90.00
_cell_angle_gamma 90.00
_space_group_name_H-M_alt 'F m -3 m'
_space_group_IT_number 225
_space_group_name_Hall '-F 4 2 3'
loop_
_atom_site_label
_atom_site_fract_x
_atom_site_fract_y
_atom_site_fract_z
_atom_site_occupancy
Ca1 0.2500 0.2500 0.2500 1
Zn1 0.0000 0.0000 0.0000 1
Si1 0.0000 0.0000 0.5000 1
```

=====

SrZnMo2 | PBEsol | relaxed

Values from the calculation:
- total magnetization (μB/atom) = 0.00
- ΔH_f (0 K) (eV per atom) = 0.610
- total energy (eV/atom) = -6.1297

Geometry as CIF:
```
data_SrZnMo2
_cell_length_a 3.4559
_cell_length_b 3.4559
_cell_length_c 6.9274
_cell_angle_alpha 90.00
_cell_angle_beta 90.00
_cell_angle_gamma 90.00
_space_group_name_H-M_alt 'P 4/m m m'
_space_group_IT_number 123
_space_group_name_Hall '-P 4 2'
loop_
_atom_site_label
_atom_site_fract_x
_atom_site_fract_y
_atom_site_fract_z
_atom_site_occupancy
Sr1 0.0000 0.0000 0.0000 1
Zn1 0.0000 0.0000 0.5000 1
Mo1 0.5000 0.5000 0.3442 1
```

=====

NaBiTe2N | PBEsol | relaxed

Values from the calculation:
- ΔE_f (raw) (eV per atom) = 0.981
- total magnetization (μB/atom) = 0.55
- total energy (eV/atom) = -3.2721

Geometry as CIF:
```
data_NaBiTe2N
_cell_length_a 5.5631
_cell_length_b 5.5631
_cell_length_c 4.2427
_cell_angle_alpha 90.00
_cell_angle_beta 90.00
_cell_angle_gamma 90.00
_space_group_name_H-M_alt 'P 4/m m m'
_space_group_IT_number 123
_space_group_name_Hall '-P 4 2'
loop_
_atom_site_label
_atom_site_fract_x
_atom_site_fract_y
_atom_site_fract_z
_atom_site_occupancy
Na1 0.0000 0.0000 0.0000 1
Bi1 0.5000 0.5000 0.5000 1
Te1 0.0000 0.5000 0.0000 1
N1 0.0000 0.0000 0.5000 1
```

=====

HgP2 | PBEsol | relaxed

Values from the calculation:
- total magnetization (μB/atom) = 0.00
- ΔH_f (0 K) (eV per atom) = 0.065
- total energy (eV/atom) = -3.9848

Geometry as CIF:
```
data_HgP2
_cell_length_a 3.2220
_cell_length_b 3.2220
_cell_length_c 7.2349
_cell_angle_alpha 90.00
_cell_angle_beta 90.00
_cell_angle_gamma 120.00
_space_group_name_H-M_alt 'P -3 m 1'
_space_group_IT_number 164
_space_group_name_Hall '-P 3 2"'
loop_
_atom_site_label
_atom_site_fract_x
_atom_site_fract_y
_atom_site_fract_z
_atom_site_occupancy
Hg1 0.0000 0.0000 0.0000 1
P1 0.3333 0.6667 0.4138 1
```